DFT (PBE-GGA) results for an optimized crystal structure of YPaPbO6.

a b c (Å): 5.6563 5.6563 4.8586
angles (deg): 90.00 90.00 120.00
With the nearest neighbours (Å) after each atom.
Fractional positions:
Y  0.0000  0.0000  0.0000  6 O 2.29
Pa  0.6667  0.3333  0.5000  6 O 2.21
Pb  0.3333  0.6667  0.0000  6 O 2.23
O  0.3472  0.0055  0.2463  1 Pa 2.21, 1 Pb 2.23, 1 Y 2.29
O  0.3472  0.3417  0.7537  1 Pa 2.21, 1 Pb 2.23, 1 Y 2.29
O  0.6583  0.0055  0.7537  1 Pa 2.21, 1 Pb 2.23, 1 Y 2.29
O  0.6583  0.6528  0.2463  1 Pa 2.21, 1 Pb 2.23, 1 Y 2.29
O  0.9945  0.3417  0.2463  1 Pa 2.21, 1 Pb 2.23, 1 Y 2.29
O  0.9945  0.6528  0.7537  1 Pa 2.21, 1 Pb 2.23, 1 Y 2.29

Output
Raw formation energy ... -250.4 kJ per mole of atoms
Theoretical density ... 7.69 g/cm³
Calculated volume ... 134.6 Å³/cell